[1]
Compound: CsIn2Br3
Source: Alexandria via LeMat-Bulk
Functional: PBE
Structure: optimized geometry

Unit cell a=8.4730 b=8.4730 c=9.7527 alpha=106.70 beta=106.70 gamma=49.61
Fractional coordinates of all 12 atoms:
Cs1 0.0035 0.9965 0.7500
Cs2 0.9965 0.0035 0.2500
In1 0.3286 0.3426 0.4220
In2 0.3426 0.3286 0.9220
In3 0.6574 0.6714 0.0780
In4 0.6714 0.6574 0.5780
Br1 0.1288 0.2355 0.5935
Br2 0.2355 0.1288 0.0935
Br3 0.4968 0.5032 0.2500
Br4 0.5032 0.4968 0.7500
Br5 0.7645 0.8712 0.9065
Br6 0.8712 0.7645 0.4065

Values from the calculation:
E_form (uncorrected)   -1.0175 eV per atom
Offset from the most stable computed form   4 meV/atom
Crystal system   monoclinic

=====

[2]
Compound: BaNa2Br4
Source: Alexandria via LeMat-Bulk
Functional: PBE
Structure: optimized geometry

Unit cell a=7.4121 b=7.4121 c=14.4401 alpha=90.00 beta=90.00 gamma=145.09
Fractional coordinates of all 14 atoms:
Ba1 0.1141 0.8859 0.7500
Ba2 0.8859 0.1141 0.2500
Na1 0.3723 0.6277 0.5609
Na2 0.3723 0.6277 0.9391
Na3 0.6277 0.3723 0.0609
Na4 0.6277 0.3723 0.4391
Br1 0.0000 0.0000 0.0000
Br2 0.0000 0.0000 0.5000
Br3 0.2761 0.7239 0.1178
Br4 0.2761 0.7239 0.3822
Br5 0.4482 0.5518 0.7500
Br6 0.5518 0.4482 0.2500
Br7 0.7239 0.2761 0.6178
Br8 0.7239 0.2761 0.8822

Values from the calculation:
E_form (uncorrected)   -1.8144 eV per atom
Offset from the most stable computed form   0 meV/atom
Crystal system   orthorhombic

=====

[3]
Compound: Li3HgAu6
Source: Alexandria via LeMat-Bulk
Functional: PBE
Structure: optimized geometry

Unit cell a=8.5841 b=8.5841 c=5.7171 alpha=90.00 beta=90.00 gamma=118.50
Fractional coordinates of all 20 atoms:
Li1 0.0732 0.9268 0.5000
Li2 0.1486 0.4469 0.5360
Li3 0.4469 0.1486 0.0360
Li4 0.5531 0.8514 0.5360
Li5 0.8514 0.5531 0.0360
Li6 0.9268 0.0732 0.0000
Hg1 0.2189 0.7811 0.8037
Hg2 0.7811 0.2189 0.3037
Au1 0.0987 0.4366 0.0258
Au2 0.2182 0.2223 0.2719
Au3 0.2223 0.2182 0.7719
Au4 0.2405 0.7595 0.2940
Au5 0.4366 0.0987 0.5258
Au6 0.4680 0.5320 0.0200
Au7 0.5320 0.4680 0.5200
Au8 0.5634 0.9013 0.0258
Au9 0.7595 0.2405 0.7940
Au10 0.7777 0.7818 0.2719
Au11 0.7818 0.7777 0.7719
Au12 0.9013 0.5634 0.5258

Values from the calculation:
Total DFT energy (no corrections)   -2.8552 eV/atom
Crystal system   orthorhombic

=====

[4]
Compound: YTi2GeOs
Source: Alexandria via LeMat-Bulk
Functional: PBE
Structure: optimized geometry

Unit cell a=4.8497 b=4.8497 c=4.8009 alpha=90.00 beta=90.00 gamma=90.00
Fractional coordinates of all 5 atoms:
Y1 0.0000 0.0000 0.0000
Ti1 0.0000 0.5000 0.0000
Ti2 0.5000 0.0000 0.0000
Ge1 0.5000 0.5000 0.5000
Os1 0.0000 0.0000 0.5000

Values from the calculation:
Total DFT energy (no corrections)   -5.7965 eV/atom
Crystal system   tetragonal

=====

[5]
Compound: SrY4Te6
Source: Alexandria via LeMat-Bulk
Functional: PBE
Structure: optimized geometry

Unit cell a=7.5220 b=7.5220 c=22.6588 alpha=90.00 beta=90.00 gamma=146.05
Fractional coordinates of all 22 atoms:
Sr1 0.1593 0.8407 0.7500
Sr2 0.8407 0.1593 0.2500
Y1 0.0905 0.9095 0.1264
Y2 0.0905 0.9095 0.3736
Y3 0.3592 0.6408 0.0373
Y4 0.3592 0.6408 0.4627
Y5 0.6408 0.3592 0.5373
Y6 0.6408 0.3592 0.9627
Y7 0.9095 0.0905 0.6264
Y8 0.9095 0.0905 0.8736
Te1 0.0000 0.0000 0.0000
Te2 0.0000 0.0000 0.5000
Te3 0.1712 0.8288 0.2500
Te4 0.2686 0.7314 0.5885
Te5 0.2686 0.7314 0.9115
Te6 0.4519 0.5481 0.1602
Te7 0.4519 0.5481 0.3398
Te8 0.5481 0.4519 0.6602
Te9 0.5481 0.4519 0.8398
Te10 0.7314 0.2686 0.0885
Te11 0.7314 0.2686 0.4115
Te12 0.8288 0.1712 0.7500

Values from the calculation:
E_form (uncorrected)   -1.4511 eV per atom
Crystal system   orthorhombic

=====

[6]
Compound: SiSbPt3
Source: Alexandria via LeMat-Bulk
Functional: PBE
Structure: optimized geometry

Unit cell a=4.9364 b=4.9364 c=4.9364 alpha=90.00 beta=90.00 gamma=90.00
Fractional coordinates of all 5 atoms:
Si1 0.0000 0.0000 0.0000
Sb1 0.5000 0.5000 0.5000
Pt1 0.0000 0.5000 0.5000
Pt2 0.5000 0.0000 0.5000
Pt3 0.5000 0.5000 0.0000

Values from the calculation:
E_form (uncorrected)   0.9359 eV per atom
Offset from the most stable computed form   911 meV/atom
Crystal system   cubic

=====

[7]
Compound: ZrZnCo
Source: Alexandria via LeMat-Bulk
Functional: PBE
Structure: optimized geometry

Unit cell a=4.2211 b=4.2211 c=3.0686 alpha=90.00 beta=90.00 gamma=120.00
Fractional coordinates of all 3 atoms:
Zr1 0.0000 0.0000 0.0000
Zn1 0.3333 0.6667 0.5000
Co1 0.6667 0.3333 0.5000

Values from the calculation:
Total DFT energy (no corrections)   -5.8142 eV/atom
Crystal system   hexagonal

=====

[8]
Compound: BeBiPd3
Source: Alexandria via LeMat-Bulk
Functional: PBE
Structure: optimized geometry

Unit cell a=4.3871 b=4.3871 c=4.3871 alpha=90.00 beta=90.00 gamma=90.00
Fractional coordinates of all 5 atoms:
Be1 0.0000 0.0000 0.0000
Bi1 0.5000 0.5000 0.5000
Pd1 0.0000 0.0000 0.5000
Pd2 0.0000 0.5000 0.0000
Pd3 0.5000 0.0000 0.0000

Values from the calculation:
Offset from the most stable computed form   0 meV/atom
Crystal system   cubic

=====

[9]
Compound: KCdOs2
Source: Alexandria via LeMat-Bulk
Functional: PBE
Structure: optimized geometry

Unit cell a=10.5214 b=10.5214 c=10.5214 alpha=154.58 beta=154.58 gamma=36.26
Fractional coordinates of all 8 atoms:
K1 0.0000 0.0000 0.0000
K2 0.7500 0.2500 0.5000
Cd1 0.2500 0.7500 0.5000
Cd2 0.5000 0.5000 0.0000
Os1 0.3153 0.1250 0.6903
Os2 0.3750 0.6847 0.8097
Os3 0.4347 0.6250 0.3097
Os4 0.8750 0.5653 0.1903

Values from the calculation:
Total DFT energy (no corrections)   -4.7800 eV/atom
Crystal system   tetragonal

=====

[10]
Compound: Rb3Cd2HgF9
Source: Alexandria via LeMat-Bulk
Functional: PBE
Structure: optimized geometry

Unit cell a=6.4182 b=6.4182 c=7.8662 alpha=90.00 beta=90.00 gamma=120.00
Fractional coordinates of all 15 atoms:
Rb1 0.0000 0.0000 0.0000
Rb2 0.3333 0.6667 0.6632
Rb3 0.6667 0.3333 0.3368
Cd1 0.3333 0.6667 0.1614
Cd2 0.6667 0.3333 0.8386
Hg1 0.0000 0.0000 0.5000
F1 0.0000 0.5000 0.0000
F2 0.1698 0.3396 0.3289
F3 0.1698 0.8302 0.3289
F4 0.3396 0.1698 0.6711
F5 0.5000 0.0000 0.0000
F6 0.5000 0.5000 0.0000
F7 0.6604 0.8302 0.3289
F8 0.8302 0.1698 0.6711
F9 0.8302 0.6604 0.6711

Values from the calculation:
E_form (uncorrected)   -2.2963 eV per atom
Crystal system   trigonal

=====

[11]
Compound: SnHF3
Source: Alexandria via LeMat-Bulk
Functional: PBE
Structure: optimized geometry

Unit cell a=3.7427 b=3.7427 c=3.7427 alpha=90.00 beta=90.00 gamma=90.00
Fractional coordinates of all 5 atoms:
Sn1 0.0000 0.0000 0.0000
H1 0.5000 0.5000 0.5000
F1 0.0000 0.5000 0.5000
F2 0.5000 0.0000 0.5000
F3 0.5000 0.5000 0.0000

Values from the calculation:
Offset from the most stable computed form   659 meV/atom
Crystal system   cubic

=====

no.,V (Å³ per cell)
1,505.9
2,454.1
3,370.2
4,112.9
5,716.0
6,120.3
7,47.4
8,84.4
9,214.3
10,280.6
11,52.4